## YSiRu (meta-GGA SCAN)

Data for a PBEsol-optimized structure of YSiRu.

Values from the calculation:
ΔE_f (raw) (eV per atom): -0.291
Total magnetization (Bohr magnetons per cell): 0.0

```
data_YSiRu
_chemical_formula_sum 'Y4 Si4 Ru4'
_cell_length_a 6.157
_cell_length_b 6.157
_cell_length_c 6.157
_cell_angle_alpha 90.00
_cell_angle_beta 90.00
_cell_angle_gamma 90.00
_space_group_name_H-M_alt 'F -4 3 m'
_space_group_IT_number 216
_space_group_name_Hall 'F -4 2 3'
loop_
_atom_site_label
_atom_site_fract_x
_atom_site_fract_y
_atom_site_fract_z
Y1 0.000 0.000 0.000
Si1 0.000 0.000 0.500
Ru1 0.250 0.250 0.250
```

## ZrTiCu (meta-GGA SCAN)

Data for a PBEsol-optimized structure of ZrTiCu.

Values from the calculation:
E_form (eV/f.u.): -0.426
Total magnetization (Bohr magnetons per cell): 0.0

```
data_ZrTiCu
_chemical_formula_sum 'Zr2 Ti2 Cu2'
_cell_length_a 3.054
_cell_length_b 3.054
_cell_length_c 10.756
_cell_angle_alpha 90.00
_cell_angle_beta 90.00
_cell_angle_gamma 90.00
_space_group_name_H-M_alt 'I 4 m m'
_space_group_IT_number 107
_space_group_name_Hall 'I 4 -2'
loop_
_atom_site_label
_atom_site_fract_x
_atom_site_fract_y
_atom_site_fract_z
Zr1 0.000 0.000 0.000
Ti1 0.000 0.000 0.686
Cu1 0.000 0.000 0.321
```

## Dy2ZnIr (meta-GGA SCAN)

Data for a PBEsol-optimized structure of Dy2ZnIr.

Values from the calculation:
E_form (eV/f.u.): -3.117
Total magnetization (Bohr magnetons per cell): 0.0

```
data_Dy2ZnIr
_chemical_formula_sum 'Dy8 Zn4 Ir4'
_cell_length_a 6.853
_cell_length_b 6.853
_cell_length_c 6.853
_cell_angle_alpha 90.00
_cell_angle_beta 90.00
_cell_angle_gamma 90.00
_space_group_name_H-M_alt 'F m -3 m'
_space_group_IT_number 225
_space_group_name_Hall '-F 4 2 3'
loop_
_atom_site_label
_atom_site_fract_x
_atom_site_fract_y
_atom_site_fract_z
Dy1 0.250 0.250 0.250
Zn1 0.000 0.000 0.000
Ir1 0.000 0.000 0.500
```

## HgSeCl (meta-GGA SCAN)

Data for a PBEsol-optimized structure of HgSeCl.

Values from the calculation:
ΔE_f (raw) (eV per atom): 0.022
Total magnetization (Bohr magnetons per cell): 0.0

```
data_HgSeCl
_chemical_formula_sum 'Hg2 Se2 Cl2'
_cell_length_a 3.889
_cell_length_b 3.889
_cell_length_c 11.147
_cell_angle_alpha 90.00
_cell_angle_beta 90.00
_cell_angle_gamma 90.00
_space_group_name_H-M_alt 'I 4 m m'
_space_group_IT_number 107
_space_group_name_Hall 'I 4 -2'
loop_
_atom_site_label
_atom_site_fract_x
_atom_site_fract_y
_atom_site_fract_z
Hg1 0.000 0.000 0.000
Se1 0.000 0.000 0.544
Cl1 0.000 0.000 0.763
```

## LaZrAgAs2 (meta-GGA SCAN)

Data for a PBEsol-optimized structure of LaZrAgAs2.

Values from the calculation:
E_form (eV/f.u.): -2.370
Total magnetization (Bohr magnetons per cell): 0.3

```
data_LaZrAgAs2
_chemical_formula_sum 'La1 Zr1 Ag1 As2'
_cell_length_a 5.083
_cell_length_b 5.083
_cell_length_c 5.037
_cell_angle_alpha 90.00
_cell_angle_beta 90.00
_cell_angle_gamma 90.00
_space_group_name_H-M_alt 'P 4/m m m'
_space_group_IT_number 123
_space_group_name_Hall '-P 4 2'
loop_
_atom_site_label
_atom_site_fract_x
_atom_site_fract_y
_atom_site_fract_z
La1 0.000 0.000 0.000
Zr1 0.500 0.500 0.500
Ag1 0.500 0.500 0.000
As1 0.000 0.500 0.500
```

## LaCrFe2Sn (meta-GGA SCAN)

Data for a PBEsol-optimized structure of LaCrFe2Sn.

Values from the calculation:
E_form (eV/f.u.): 5.373
Total magnetization (Bohr magnetons per cell): 1.5

```
data_LaCrFe2Sn
_chemical_formula_sum 'La1 Cr1 Fe2 Sn1'
_cell_length_a 4.788
_cell_length_b 4.788
_cell_length_c 5.810
_cell_angle_alpha 90.00
_cell_angle_beta 90.00
_cell_angle_gamma 90.00
_space_group_name_H-M_alt 'P 4/m m m'
_space_group_IT_number 123
_space_group_name_Hall '-P 4 2'
loop_
_atom_site_label
_atom_site_fract_x
_atom_site_fract_y
_atom_site_fract_z
La1 0.000 0.000 0.000
Cr1 0.500 0.500 0.000
Fe1 0.000 0.500 0.500
Sn1 0.000 0.000 0.500
```

## Tl2ZnFeF (meta-GGA SCAN)

Data for a PBEsol-optimized structure of Tl2ZnFeF.

Values from the calculation:
ΔE_f (raw) (eV per atom): -0.224
Total magnetization (Bohr magnetons per cell): 2.9

```
data_Tl2ZnFeF
_chemical_formula_sum 'Tl2 Zn1 Fe1 F1'
_cell_length_a 5.313
_cell_length_b 5.313
_cell_length_c 3.693
_cell_angle_alpha 90.00
_cell_angle_beta 90.00
_cell_angle_gamma 90.00
_space_group_name_H-M_alt 'P 4/m m m'
_space_group_IT_number 123
_space_group_name_Hall '-P 4 2'
loop_
_atom_site_label
_atom_site_fract_x
_atom_site_fract_y
_atom_site_fract_z
Tl1 0.000 0.500 0.000
Zn1 0.000 0.000 0.500
Fe1 0.500 0.500 0.000
F1 0.500 0.500 0.500
```

## YMg2Sc (meta-GGA SCAN)

Data for a PBEsol-optimized structure of YMg2Sc.

Values from the calculation:
E_form (eV/f.u.): 0.388
Total magnetization (Bohr magnetons per cell): 0.0

```
data_YMg2Sc
_chemical_formula_sum 'Y4 Mg8 Sc4'
_cell_length_a 7.357
_cell_length_b 7.357
_cell_length_c 7.357
_cell_angle_alpha 90.00
_cell_angle_beta 90.00
_cell_angle_gamma 90.00
_space_group_name_H-M_alt 'F -4 3 m'
_space_group_IT_number 216
_space_group_name_Hall 'F -4 2 3'
loop_
_atom_site_label
_atom_site_fract_x
_atom_site_fract_y
_atom_site_fract_z
Y1 0.000 0.000 0.000
Mg1 0.000 0.000 0.500
Mg2 0.250 0.250 0.250
Sc1 0.250 0.250 0.750
```

## Tl2Sb (meta-GGA SCAN)

Data for a PBEsol-optimized structure of Tl2Sb.

Values from the calculation:
ΔE_f (raw) (eV per atom): 0.026
Total magnetization (Bohr magnetons per cell): 0.0

```
data_Tl2Sb
_chemical_formula_sum 'Tl8 Sb4'
_cell_length_a 6.703
_cell_length_b 5.284
_cell_length_c 9.601
_cell_angle_alpha 90.00
_cell_angle_beta 90.00
_cell_angle_gamma 90.00
_space_group_name_H-M_alt 'P n m a'
_space_group_IT_number 62
_space_group_name_Hall '-P 2ac 2n'
loop_
_atom_site_label
_atom_site_fract_x
_atom_site_fract_y
_atom_site_fract_z
Tl1 0.029 0.250 0.227
Tl2 0.192 0.250 0.578
Sb1 0.220 0.250 0.909
```

## YMn2Ru (meta-GGA SCAN)

Data for a PBEsol-optimized structure of YMn2Ru.

Values from the calculation:
E_form (eV/f.u.): -0.009
Total magnetization (Bohr magnetons per cell): 1.2

```
data_YMn2Ru
_chemical_formula_sum 'Y2 Mn4 Ru2'
_cell_length_a 3.245
_cell_length_b 4.556
_cell_length_c 8.547
_cell_angle_alpha 90.00
_cell_angle_beta 90.00
_cell_angle_gamma 90.00
_space_group_name_H-M_alt 'I m m 2'
_space_group_IT_number 44
_space_group_name_Hall 'I 2 -2'
loop_
_atom_site_label
_atom_site_fract_x
_atom_site_fract_y
_atom_site_fract_z
Y1 0.000 0.000 0.000
Mn1 0.000 0.000 0.506
Mn2 0.000 0.500 0.781
Ru1 0.000 0.500 0.233
```

## Rb3MnCr (meta-GGA SCAN)

Data for a PBEsol-optimized structure of Rb3MnCr.

Values from the calculation:
E_form (eV/f.u.): 4.490
Total magnetization (Bohr magnetons per cell): 11.7

```
data_Rb3MnCr
_chemical_formula_sum 'Rb3 Mn1 Cr1'
_cell_length_a 6.771
_cell_length_b 6.771
_cell_length_c 6.771
_cell_angle_alpha 90.00
_cell_angle_beta 90.00
_cell_angle_gamma 90.00
_space_group_name_H-M_alt 'P m -3 m'
_space_group_IT_number 221
_space_group_name_Hall '-P 4 2 3'
loop_
_atom_site_label
_atom_site_fract_x
_atom_site_fract_y
_atom_site_fract_z
Rb1 0.000 0.000 0.500
Mn1 0.500 0.500 0.500
Cr1 0.000 0.000 0.000
```

## Y2CuMo (meta-GGA SCAN)

Data for a PBEsol-optimized structure of Y2CuMo.

Values from the calculation:
E_form (eV/f.u.): 0.847
Total magnetization (Bohr magnetons per cell): 1.9

```
data_Y2CuMo
_chemical_formula_sum 'Y4 Cu2 Mo2'
_cell_length_a 3.313
_cell_length_b 4.787
_cell_length_c 10.391
_cell_angle_alpha 90.00
_cell_angle_beta 90.00
_cell_angle_gamma 90.00
_space_group_name_H-M_alt 'I m m 2'
_space_group_IT_number 44
_space_group_name_Hall 'I 2 -2'
loop_
_atom_site_label
_atom_site_fract_x
_atom_site_fract_y
_atom_site_fract_z
Y1 0.000 0.000 0.000
Y2 0.000 0.500 0.211
Cu1 0.000 0.500 0.753
Mo1 0.000 0.000 0.438
```

## SrSc2Fe (meta-GGA SCAN)

Data for a PBEsol-optimized structure of SrSc2Fe.

Values from the calculation:
E_form (eV/f.u.): 1.103
Total magnetization (Bohr magnetons per cell): 1.0

```
data_SrSc2Fe
_chemical_formula_sum 'Sr1 Sc2 Fe1'
_cell_length_a 3.538
_cell_length_b 3.538
_cell_length_c 7.793
_cell_angle_alpha 90.00
_cell_angle_beta 90.00
_cell_angle_gamma 90.00
_space_group_name_H-M_alt 'P 4 m m'
_space_group_IT_number 99
_space_group_name_Hall 'P 4 -2'
loop_
_atom_site_label
_atom_site_fract_x
_atom_site_fract_y
_atom_site_fract_z
Sr1 0.000 0.000 0.000
Sc1 0.000 0.000 0.401
Sc2 0.500 0.500 0.634
Fe1 0.500 0.500 0.303
```

## K2SiAu (meta-GGA SCAN)

Data for a PBEsol-optimized structure of K2SiAu.

Values from the calculation:
ΔE_f (raw) (eV per atom): -0.269
Total magnetization (Bohr magnetons per cell): 0.0

```
data_K2SiAu
_chemical_formula_sum 'K4 Si2 Au2'
_cell_length_a 4.593
_cell_length_b 5.795
_cell_length_c 10.125
_cell_angle_alpha 90.00
_cell_angle_beta 90.00
_cell_angle_gamma 90.00
_space_group_name_H-M_alt 'A m m 2'
_space_group_IT_number 38
_space_group_name_Hall 'A 2 -2'
loop_
_atom_site_label
_atom_site_fract_x
_atom_site_fract_y
_atom_site_fract_z
K1 0.000 0.000 0.000
K2 0.500 0.000 0.331
Si1 0.000 0.000 0.667
Au1 0.500 0.000 0.663
```

## KY (meta-GGA SCAN)

Data for a PBEsol-optimized structure of KY.

Values from the calculation:
E_form (eV/f.u.): 0.985
Total magnetization (Bohr magnetons per cell): 4.4

```
data_KY
_chemical_formula_sum 'K6 Y6'
_cell_length_a 17.305
_cell_length_b 3.572
_cell_length_c 8.571
_cell_angle_alpha 90.00
_cell_angle_beta 104.31
_cell_angle_gamma 90.00
_space_group_name_H-M_alt 'C 1 m 1'
_space_group_IT_number 8
_space_group_name_Hall 'C -2y'
loop_
_atom_site_label
_atom_site_fract_x
_atom_site_fract_y
_atom_site_fract_z
K1 0.000 0.000 0.000
K2 0.069 0.000 0.615
K3 0.178 0.500 0.308
Y1 0.273 0.500 0.941
Y2 0.338 0.000 0.656
Y3 0.378 0.000 0.277
```

## RbNbI2N (meta-GGA SCAN)

Data for a PBEsol-optimized structure of RbNbI2N.

Values from the calculation:
ΔE_f (raw) (eV per atom): -0.626
Total magnetization (Bohr magnetons per cell): 1.0

```
data_RbNbI2N
_chemical_formula_sum 'Rb1 Nb1 I2 N1'
_cell_length_a 5.858
_cell_length_b 5.858
_cell_length_c 3.988
_cell_angle_alpha 90.00
_cell_angle_beta 90.00
_cell_angle_gamma 90.00
_space_group_name_H-M_alt 'P 4/m m m'
_space_group_IT_number 123
_space_group_name_Hall '-P 4 2'
loop_
_atom_site_label
_atom_site_fract_x
_atom_site_fract_y
_atom_site_fract_z
Rb1 0.000 0.000 0.000
Nb1 0.500 0.500 0.500
I1 0.000 0.500 0.500
N1 0.500 0.500 0.000
```

## Ca2RhSe (meta-GGA SCAN)

Data for a PBEsol-optimized structure of Ca2RhSe.

Values from the calculation:
ΔE_f (raw) (eV per atom): -0.920
Total magnetization (Bohr magnetons per cell): 0.0

```
data_Ca2RhSe
_chemical_formula_sum 'Ca2 Rh1 Se1'
_cell_length_a 4.808
_cell_length_b 4.808
_cell_length_c 3.583
_cell_angle_alpha 90.00
_cell_angle_beta 90.00
_cell_angle_gamma 90.00
_space_group_name_H-M_alt 'P 4/m m m'
_space_group_IT_number 123
_space_group_name_Hall '-P 4 2'
loop_
_atom_site_label
_atom_site_fract_x
_atom_site_fract_y
_atom_site_fract_z
Ca1 0.000 0.500 0.000
Rh1 0.000 0.000 0.500
Se1 0.500 0.500 0.500
```

## Cr2Tc (meta-GGA SCAN)

Data for a PBEsol-optimized structure of Cr2Tc.

Values from the calculation:
E_form (eV/f.u.): 0.055
Total magnetization (Bohr magnetons per cell): 0.0

```
data_Cr2Tc
_chemical_formula_sum 'Cr8 Tc4'
_cell_length_a 9.132
_cell_length_b 2.873
_cell_length_c 5.887
_cell_angle_alpha 90.00
_cell_angle_beta 109.35
_cell_angle_gamma 90.00
_space_group_name_H-M_alt 'C 1 2/m 1'
_space_group_IT_number 12
_space_group_name_Hall '-C 2y'
loop_
_atom_site_label
_atom_site_fract_x
_atom_site_fract_y
_atom_site_fract_z
Cr1 0.004 0.000 0.231
Cr2 0.165 0.500 0.075
Tc1 0.161 0.500 0.589
```

## CsGeSe2 (meta-GGA SCAN)

Data for a PBEsol-optimized structure of CsGeSe2.

Values from the calculation:
ΔE_f (raw) (eV per atom): -0.817
Total magnetization (Bohr magnetons per cell): 0.0

```
data_CsGeSe2
_chemical_formula_sum 'Cs2 Ge2 Se4'
_cell_length_a 6.539
_cell_length_b 6.613
_cell_length_c 8.410
_cell_angle_alpha 68.31
_cell_angle_beta 89.92
_cell_angle_gamma 60.65
_space_group_name_H-M_alt 'P 1'
_space_group_IT_number 1
_space_group_name_Hall 'P 1'
loop_
_atom_site_label
_atom_site_fract_x
_atom_site_fract_y
_atom_site_fract_z
Cs1 0.000 0.000 0.000
Cs2 0.224 0.556 0.687
Ge1 0.488 0.033 0.468
Ge2 0.837 0.343 0.515
Se1 0.106 0.420 0.329
Se2 0.489 0.776 0.330
Se3 0.574 0.846 0.773
Se4 0.757 0.154 0.338
```

## MgAlPb (meta-GGA SCAN)

Data for a PBEsol-optimized structure of MgAlPb.

Values from the calculation:
E_form (eV/f.u.): 0.292
Total magnetization (Bohr magnetons per cell): 0.0

```
data_MgAlPb
_chemical_formula_sum 'Mg1 Al1 Pb1'
_cell_length_a 4.9974
_cell_length_b 4.9974
_cell_length_c 3.2245
_cell_angle_alpha 90.00
_cell_angle_beta 90.00
_cell_angle_gamma 120.00
_space_group_name_H-M_alt 'P 3 m 1'
_space_group_IT_number 156
_space_group_name_Hall 'P 3 -2"'
loop_
_atom_site_label
_atom_site_fract_x
_atom_site_fract_y
_atom_site_fract_z
Mg1 0.0000 0.0000 0.0000
Al1 0.6667 0.3333 0.5571
Pb1 0.3333 0.6667 0.4602
```

What did we get for E_tot? Answer: -24.5196 -20.7845 -45.8312 -32.0523 -29.5845 -25.6594 -36.2044 -12.9097 -60.6333 -24.7972 -18.8736 -26.2308 -16.9439 -24.2261 -17.5932 -27.9543 -19.2141 -23.9246 -25.0804 -29.4049 eV per atom, in the order shown.